Below is crystalline BaSrCeTiO6 at its relaxed geometry, with properties calculated at the PBE level.

Calculated values
E_form (uncorrected) = -3.086 eV/atom
space group = F-43m, No. 216
density of states at the Fermi level = 0.00 states/eV per cell

a b c (Å): 5.959 5.959 5.959
angles (deg): 60.00 60.00 60.00
Atoms (fractional coordinates):
Sr: 0.750 0.750 0.750
O: 0.735 0.735 0.265
O: 0.735 0.265 0.735
O: 0.265 0.735 0.735
O: 0.265 0.735 0.265
O: 0.265 0.265 0.735
O: 0.735 0.265 0.265
Ba: 0.250 0.250 0.250
Ti: 0.500 0.500 0.500
Ce: 0.000 0.000 0.000